Hg4SbSI2 (PBE, relaxed); symmetry = Imma (74); total energy = -1.581 eV per atom; calculated volume = 30.07 Å³ per atom; crystal system = orthorhombic; D(E_F) = 2.7 states/eV/f.u.
1.0
-4.2078 4.2937 6.6581
4.2078 -4.2937 6.6581
4.2078 4.2937 -6.6581
Hg Sb S I
8 2 2 4
direct
0.2363 0.2214 0.0149 Hg
0.2785 0.2469 0.4684 Hg
0.2785 0.8101 0.0316 Hg
0.2934 0.7786 0.5149 Hg
0.7066 0.2214 0.4851 Hg
0.7215 0.1899 0.9684 Hg
0.7215 0.7531 0.5316 Hg
0.7637 0.7786 0.9851 Hg
0.5000 0.0000 0.0000 Sb
0.5000 0.5000 0.5000 Sb
0.0000 0.0000 0.0000 S
0.5000 0.0000 0.5000 S
0.0000 0.0000 0.5000 I
0.0000 0.5000 0.0000 I
0.0000 0.5000 0.5000 I
0.5000 0.5000 0.0000 I